1.
A relaxed structure of TiMn2Pd, computed with PBE.

Calculated values
Formation energy from the elements (eV/atom): 0.177

a b c (Å): 4.2162 4.2162 4.2162
angles (deg): 60.00 60.00 60.00
Closest atoms and distances in Å follow each position.
Positions (direct):
Ti 0.0000 0.0000 0.0000  8 Mn 2.58
Mn 0.2500 0.2500 0.2500  4 Pd 2.58, 4 Ti 2.58
Mn 0.7500 0.7500 0.7500  4 Pd 2.58, 4 Ti 2.58
Pd 0.5000 0.5000 0.5000  8 Mn 2.58

2.
A relaxed structure of KAlAuSe2, computed with PBE.

Calculated values
Energy relative to the elements, uncorrected (eV/f.u.): 4.8

a b c (Å): 5.8536 5.8536 5.6742
angles (deg): 90.00 90.00 90.00
Closest atoms and distances in Å follow each position.
Positions (direct):
K 0.0000 0.0000 0.0000  2 Au 2.84, 4 Se 2.93
Al 0.5000 0.5000 0.5000  8 Se 4.08, 4 Au 4.14
Au 0.0000 0.0000 0.5000  2 K 2.84
Se 0.0000 0.5000 0.0000  2 K 2.93
Se 0.5000 0.0000 0.0000  2 K 2.93

3.
A relaxed structure of YTh2Ni, computed with PBE.

Calculated values
Excess energy over the best structure of this formula in the dataset (eV per formula unit): 1.50
Formation energy from the elements (eV/atom): 0.156

a b c (Å): 10.5348 10.5348 10.5348
angles (deg): 19.81 19.81 19.81
Closest atoms and distances in Å follow each position.
Positions (direct):
Y 0.0000 0.0000 0.0000  2 Th 3.34, 6 Y 3.62
Th 0.1077 0.1077 0.1077  3 Ni 2.78
Th 0.8923 0.8923 0.8923  3 Ni 2.78
Ni 0.5000 0.5000 0.5000  6 Th 2.78

4.
A relaxed structure of Pa4SiTe2S, computed with PBE.

Calculated values
Energy relative to the elements, uncorrected (eV/f.u.): -6.9

a b c (Å): 6.9202 4.1183 7.5611
angles (deg): 90.00 108.90 90.00
Closest atoms and distances in Å follow each position.
Positions (direct):
Pa 0.2272 0.0000 0.2061  2 S 2.75, 1 Si 2.81
Pa 0.2563 0.5000 0.7883  1 S 2.75, 2 Si 2.81
Pa 0.7437 0.5000 0.2117  1 S 2.75, 2 Si 2.81
Pa 0.7728 0.0000 0.7939  2 S 2.75, 1 Si 2.81
Si 0.5000 0.0000 0.0000  6 Pa 2.81
Te 0.0000 0.0000 0.5000  6 Pa 3.10-3.11
Te 0.5000 0.5000 0.5000  6 Pa 3.16-3.17
S 0.0000 0.5000 0.0000  6 Pa 2.75

5.
A relaxed structure of PaGa2, computed with PBE.

Calculated values
Formation energy from the elements (eV/atom): -0.309

a b c (Å): 5.5033 5.5033 5.5033
angles (deg): 60.00 60.00 60.00
Closest atoms and distances in Å follow each position.
Positions (direct):
Pa 0.1250 0.1250 0.1250  12 Ga 3.23, 4 Pa 3.37
Pa 0.8750 0.8750 0.8750  12 Ga 3.23, 4 Pa 3.37
Ga 0.0000 0.5000 0.5000  6 Ga 2.75
Ga 0.5000 0.0000 0.5000  6 Ga 2.75
Ga 0.5000 0.5000 0.0000  6 Ga 2.75
Ga 0.5000 0.5000 0.5000  6 Ga 2.75

6.
A relaxed structure of K2Zn, computed with PBE.

Calculated values
Excess energy over the best structure of this formula in the dataset (eV per formula unit): 0.30
Formation energy from the elements (eV/atom): 0.183

a b c (Å): 8.2657 8.4491 4.5593
angles (deg): 90.00 90.00 90.00
Closest atoms and distances in Å follow each position.
Positions (direct):
K 0.2202 0.1517 0.0000  3 Zn 3.46-3.49
K 0.2798 0.6517 0.5000  3 Zn 3.46-3.49
K 0.7202 0.3483 0.5000  3 Zn 3.46-3.49
K 0.7798 0.8483 0.0000  3 Zn 3.46-3.49
Zn 0.0000 0.5000 0.0000  6 K 3.46-3.49
Zn 0.5000 0.0000 0.5000  6 K 3.46-3.49

7.
A relaxed structure of TmSn2Rh3, computed with PBE.

Calculated values
Formation energy from the elements (eV/atom): -0.708

a b c (Å): 4.6514 4.6514 5.7254
angles (deg): 90.00 90.00 120.00
Closest atoms and distances in Å follow each position.
Positions (direct):
Tm 0.0000 0.0000 0.0000  8 Rh 2.86-2.97
Sn 0.3333 0.6667 0.6928  8 Rh 2.70-3.02
Sn 0.6667 0.3333 0.3072  8 Rh 2.70-3.02
Rh 0.0000 0.0000 0.5000  2 Tm 2.86, 6 Sn 2.90, 6 Rh 3.13
Rh 0.3333 0.6667 0.2204  5 Sn 2.70-3.02, 3 Tm 2.97
Rh 0.6667 0.3333 0.7796  5 Sn 2.70-3.02, 3 Tm 2.97

8.
A relaxed structure of LiTiCd3, computed with PBE.

Calculated values
Excess energy over the best structure of this formula in the dataset (eV per formula unit): 1.02
Formation energy from the elements (eV/atom): 0.590

a b c (Å): 5.4147 5.4147 5.4147
angles (deg): 90.00 90.00 90.00
Closest atoms and distances in Å follow each position.
Positions (direct):
Li 0.0000 0.0000 0.0000  12 Cd 3.83
Ti 0.5000 0.5000 0.5000  6 Cd 2.71
Cd 0.0000 0.5000 0.5000  2 Ti 2.71
Cd 0.5000 0.0000 0.5000  2 Ti 2.71
Cd 0.5000 0.5000 0.0000  2 Ti 2.71

What N(E_F) values result from the calculations? In sequence: 5.73 9.55 7.14 14.21 9.82 5.52 4.74 5.14 states/eV/cell.